# 1
# Li2ZnCu | Alexandria | meta-GGA SCAN | single point on PBEsol structure
# Energy in Ha/atom: -0.3119
# Total moment in Bohr magnetons per cell: 0.00
# Calculated formation energy in meV/atom: -113
data_Li2ZnCu
_chemical_formula_sum 'Li4 Zn2 Cu2'
_cell_length_a 8.736
_cell_length_b 2.585
_cell_length_c 4.749
_cell_angle_alpha 90.00
_cell_angle_beta 98.76
_cell_angle_gamma 90.00
_symmetry_space_group_name_H-M 'C 1 m 1'
_symmetry_Int_Tables_number 8
loop_
_symmetry_equiv_pos_as_xyz
'x,y,z'
'x,-y,z'
'x+1/2,y+1/2,z'
'x+1/2,-y+1/2,z'
loop_
_atom_site_label
_atom_site_fract_x
_atom_site_fract_y
_atom_site_fract_z
Li1 0.000 0.000 0.000
Li2 0.237 0.000 0.750
Zn1 0.251 0.500 0.272
Cu1 0.492 0.000 0.487

# 2
# LiZn2Cu2 | Alexandria | meta-GGA SCAN | single point on PBEsol structure
# Energy in Ha/atom: -0.4446
# Total moment in Bohr magnetons per cell: 0.00
# Calculated formation energy in meV/atom: -133
data_LiZn2Cu2
_chemical_formula_sum 'Li2 Zn4 Cu4'
_cell_length_a 7.129
_cell_length_b 7.129
_cell_length_c 2.639
_cell_angle_alpha 90.00
_cell_angle_beta 90.00
_cell_angle_gamma 90.00
_symmetry_space_group_name_H-M 'P 4/m b m'
_symmetry_Int_Tables_number 127
_symmetry_space_group_name_Hall '-P 4 2ab'
loop_
_atom_site_label
_atom_site_fract_x
_atom_site_fract_y
_atom_site_fract_z
Li1 0.000 0.000 0.000
Zn1 0.132 0.368 0.000
Cu1 0.165 0.665 0.500

# 3
# Li2ZnCu3 | Alexandria | meta-GGA SCAN | single point on PBEsol structure
# Energy in Ha/atom: -0.3960
# Total moment in Bohr magnetons per cell: 0.00
# Calculated formation energy in meV/atom: -126
data_Li2ZnCu3
_chemical_formula_sum 'Li6 Zn3 Cu9'
_cell_length_a 4.8496
_cell_length_b 4.8496
_cell_length_c 11.9974
_cell_angle_alpha 90.00
_cell_angle_beta 90.00
_cell_angle_gamma 120.00
_symmetry_space_group_name_H-M 'R -3 m'
_symmetry_Int_Tables_number 166
_symmetry_space_group_name_Hall '-R 3 2"'
loop_
_atom_site_label
_atom_site_fract_x
_atom_site_fract_y
_atom_site_fract_z
Li1 0.0000 0.0000 0.1224
Zn1 0.0000 0.0000 0.5000
Cu1 0.0000 0.5000 0.0000

# 4
# LiZn2Cu | Alexandria | meta-GGA SCAN | single point on PBEsol structure
# Energy in Ha/atom: -0.4150
# Total moment in Bohr magnetons per cell: 0.00
# Calculated formation energy in meV/atom: -138
data_LiZn2Cu
_chemical_formula_sum 'Li1 Zn2 Cu1'
_cell_length_a 2.572
_cell_length_b 4.230
_cell_length_c 4.715
_cell_angle_alpha 90.00
_cell_angle_beta 95.43
_cell_angle_gamma 90.00
_symmetry_space_group_name_H-M 'P 1 m 1'
_symmetry_Int_Tables_number 6
loop_
_symmetry_equiv_pos_as_xyz
'x,y,z'
'x,-y,z'
loop_
_atom_site_label
_atom_site_fract_x
_atom_site_fract_y
_atom_site_fract_z
Li1 0.000 0.000 0.000
Zn1 0.512 0.000 0.513
Zn2 0.595 0.500 0.200
Cu1 0.099 0.500 0.704

# 5
# LiZnCu | Alexandria | meta-GGA SCAN | single point on PBEsol structure
# Energy in Ha/atom: -0.3841
# Total moment in Bohr magnetons per cell: 0.00
# Calculated formation energy in meV/atom: -85
# Energy relative to the lowest polymorph listed for this composition in eV/atom: 0.060
data_LiZnCu
_chemical_formula_sum 'Li2 Zn2 Cu2'
_cell_length_a 2.625
_cell_length_b 2.625
_cell_length_c 11.271
_cell_angle_alpha 90.00
_cell_angle_beta 90.00
_cell_angle_gamma 90.00
_symmetry_space_group_name_H-M 'I 4 m m'
_symmetry_Int_Tables_number 107
_symmetry_space_group_name_Hall 'I 4 -2'
loop_
_atom_site_label
_atom_site_fract_x
_atom_site_fract_y
_atom_site_fract_z
Li1 0.000 0.000 0.000
Zn1 0.000 0.000 0.678
Cu1 0.000 0.000 0.334

# 6
# Li2ZnCu | Alexandria | meta-GGA SCAN | single point on PBEsol structure
# Energy in Ha/atom: -0.3097
# Total moment in Bohr magnetons per cell: 0.00
# Calculated formation energy in meV/atom: -54
data_Li2ZnCu
_chemical_formula_sum 'Li6 Zn3 Cu3'
_cell_length_a 2.6356
_cell_length_b 2.6356
_cell_length_c 26.2867
_cell_angle_alpha 90.00
_cell_angle_beta 90.00
_cell_angle_gamma 120.00
_symmetry_space_group_name_H-M 'R -3 m'
_symmetry_Int_Tables_number 166
_symmetry_space_group_name_Hall '-R 3 2"'
loop_
_atom_site_label
_atom_site_fract_x
_atom_site_fract_y
_atom_site_fract_z
Li1 0.0000 0.0000 0.2462
Zn1 0.0000 0.0000 0.0000
Cu1 0.0000 0.0000 0.5000

# 7
# LiZn2Cu | Alexandria | meta-GGA SCAN | single point on PBEsol structure
# Energy in Ha/atom: -0.4157
# Total moment in Bohr magnetons per cell: 0.00
# Calculated formation energy in meV/atom: -156
data_LiZn2Cu
_chemical_formula_sum 'Li2 Zn4 Cu2'
_cell_length_a 3.721
_cell_length_b 3.721
_cell_length_c 7.331
_cell_angle_alpha 90.00
_cell_angle_beta 90.00
_cell_angle_gamma 90.00
_symmetry_space_group_name_H-M 'I -4 m 2'
_symmetry_Int_Tables_number 119
_symmetry_space_group_name_Hall 'I -4 -2'
loop_
_atom_site_label
_atom_site_fract_x
_atom_site_fract_y
_atom_site_fract_z
Li1 0.000 0.000 0.000
Zn1 0.000 0.000 0.500
Zn2 0.000 0.500 0.750
Cu1 0.000 0.500 0.250

# 8
# LiZn2Cu | Alexandria | meta-GGA SCAN | single point on PBEsol structure
# Energy in Ha/atom: -0.4135
# Total moment in Bohr magnetons per cell: 0.00
# Calculated formation energy in meV/atom: -96
data_LiZn2Cu
_chemical_formula_sum 'Li1 Zn2 Cu1'
_cell_length_a 3.015
_cell_length_b 3.015
_cell_length_c 5.620
_cell_angle_alpha 90.00
_cell_angle_beta 90.00
_cell_angle_gamma 90.00
_symmetry_space_group_name_H-M 'P 4 m m'
_symmetry_Int_Tables_number 99
loop_
_symmetry_equiv_pos_as_xyz
'x,y,z'
'-y,x,z'
'-x,-y,z'
'y,-x,z'
'-x,y,z'
'y,x,z'
'x,-y,z'
'-y,-x,z'
loop_
_atom_site_label
_atom_site_fract_x
_atom_site_fract_y
_atom_site_fract_z
Li1 0.000 0.000 0.000
Zn1 0.000 0.000 0.525
Zn2 0.500 0.500 0.252
Cu1 0.500 0.500 0.761

# 9
# Li2ZnCu | Alexandria | meta-GGA SCAN | single point on PBEsol structure
# Energy in Ha/atom: -0.3111
# Total moment in Bohr magnetons per cell: 0.00
# Calculated formation energy in meV/atom: -91
data_Li2ZnCu
_chemical_formula_sum 'Li4 Zn2 Cu2'
_cell_length_a 3.643
_cell_length_b 3.643
_cell_length_c 7.901
_cell_angle_alpha 90.00
_cell_angle_beta 90.00
_cell_angle_gamma 90.00
_symmetry_space_group_name_H-M 'I 4/m m m'
_symmetry_Int_Tables_number 139
_symmetry_space_group_name_Hall '-I 4 2'
loop_
_atom_site_label
_atom_site_fract_x
_atom_site_fract_y
_atom_site_fract_z
Li1 0.000 0.500 0.250
Zn1 0.000 0.000 0.000
Cu1 0.000 0.000 0.500

# 10
# Li2ZnCu | Alexandria | meta-GGA SCAN | single point on PBEsol structure
# Energy in Ha/atom: -0.3099
# Total moment in Bohr magnetons per cell: 0.00
# Calculated formation energy in meV/atom: -61
data_Li2ZnCu
_chemical_formula_sum 'Li4 Zn2 Cu2'
_cell_length_a 3.158
_cell_length_b 4.012
_cell_length_c 8.315
_cell_angle_alpha 90.00
_cell_angle_beta 90.00
_cell_angle_gamma 90.00
_symmetry_space_group_name_H-M 'C m m m'
_symmetry_Int_Tables_number 65
_symmetry_space_group_name_Hall '-C 2 2'
loop_
_atom_site_label
_atom_site_fract_x
_atom_site_fract_y
_atom_site_fract_z
Li1 0.000 0.000 0.239
Zn1 0.000 0.500 0.500
Cu1 0.000 0.500 0.000

# 11
# LiZnCu | Alexandria | meta-GGA SCAN | single point on PBEsol structure
# Energy in Ha/atom: -0.3835
# Total moment in Bohr magnetons per cell: 0.00
# Calculated formation energy in meV/atom: -67
# Energy relative to the lowest polymorph listed for this composition in eV/atom: 0.077
data_LiZnCu
_chemical_formula_sum 'Li1 Zn1 Cu1'
_cell_length_a 2.6112
_cell_length_b 2.6112
_cell_length_c 6.5039
_cell_angle_alpha 90.00
_cell_angle_beta 90.00
_cell_angle_gamma 120.00
_symmetry_space_group_name_H-M 'P 3 m 1'
_symmetry_Int_Tables_number 156
loop_
_symmetry_equiv_pos_as_xyz
'x,y,z'
'-y,x-y,z'
'-x+y,-x,z'
'-y,-x,z'
'-x+y,y,z'
'x,x-y,z'
loop_
_atom_site_label
_atom_site_fract_x
_atom_site_fract_y
_atom_site_fract_z
Li1 0.0000 0.0000 0.0000
Zn1 0.3333 0.6667 0.6497
Cu1 0.6667 0.3333 0.3239

# 12
# LiZn2Cu | Alexandria | meta-GGA SCAN | single point on PBEsol structure
# Energy in Ha/atom: -0.4160
# Total moment in Bohr magnetons per cell: 0.00
# Calculated formation energy in meV/atom: -165
data_LiZn2Cu
_chemical_formula_sum 'Li4 Zn8 Cu4'
_cell_length_a 5.871
_cell_length_b 5.871
_cell_length_c 5.871
_cell_angle_alpha 90.00
_cell_angle_beta 90.00
_cell_angle_gamma 90.00
_symmetry_space_group_name_H-M 'F -4 3 m'
_symmetry_Int_Tables_number 216
_symmetry_space_group_name_Hall 'F -4 2 3'
loop_
_atom_site_label
_atom_site_fract_x
_atom_site_fract_y
_atom_site_fract_z
Li1 0.000 0.000 0.000
Zn1 0.000 0.000 0.500
Zn2 0.250 0.250 0.250
Cu1 0.250 0.250 0.750